A plane-wave DFT calculation with PBE-GGA was carried out for a geometry-optimized TiMnBe3 structure.

extended XYZ file:
```
5
Lattice="3.900 0.000 0.000 0.000 3.900 0.000 0.000 0.000 3.900" Properties=species:S:1:pos:R:3 pbc="T T T"
Ti 0.000 0.000 0.000
Mn 1.950 1.950 1.950
Be 0.000 1.950 1.950
Be 1.950 0.000 1.950
Be 1.950 1.950 0.000
```

Properties
For the total energy, the calculation gives -5.1823 eV per atom. As for the energy above the most stable polymorph in this dataset: 0.0 meV per atom. The calculation puts the formation enthalpy at 0 K at 0.466 eV/atom.



A plane-wave DFT calculation with PBE-GGA was carried out for a geometry-optimized La4CuTe3 structure.

extended XYZ file:
```
16
Lattice="7.920 0.000 0.000 0.000 9.057 0.000 -2.568 0.000 7.314" Properties=species:S:1:pos:R:3 pbc="T T T"
La 1.835 1.052 0.020
La 0.550 8.006 3.677
La 0.650 3.328 3.603
La -0.635 5.730 7.260
La 5.987 3.328 0.053
La 4.703 5.730 3.710
La 4.802 1.052 3.636
La 3.518 8.006 7.293
Cu -0.642 1.142 1.828
Cu -1.926 7.915 5.485
Te -1.926 3.393 5.485
Te -0.642 5.665 1.828
Te 2.034 1.139 5.485
Te 3.318 3.411 1.828
Te 2.034 5.647 5.485
Te 3.318 7.918 1.828
```

Properties
For the total energy, the calculation gives -5.3453 eV per atom. Its uncorrected formation energy is -1.191 eV/atom.



A plane-wave DFT calculation with PBE-GGA was carried out for a geometry-optimized RbInTe structure.

extended XYZ file:
```
12
Lattice="13.599 0.000 0.000 0.000 4.505 0.000 -6.276 0.000 8.015" Properties=species:S:1:pos:R:3 pbc="T T T"
Rb -1.500 0.000 2.871
Rb 2.023 2.253 5.144
Rb 5.300 2.253 2.871
Rb 8.823 0.000 5.144
In 1.574 2.253 0.192
In -1.050 0.000 7.822
In 8.373 0.000 0.192
In 5.749 2.253 7.822
Te -1.706 2.253 5.920
Te 2.230 0.000 2.095
Te 5.093 0.000 5.920
Te 9.029 2.253 2.095
```

Properties
For the total energy, the calculation gives -2.8929 eV per atom. Its uncorrected formation energy is -0.610 eV/atom. As for the energy above the most stable polymorph in this dataset: 55.8 meV per atom.



A plane-wave DFT calculation with PBE-GGA was carried out for a geometry-optimized TlTeIBr2 structure.

extended XYZ file:
```
5
Lattice="5.758 0.000 0.000 0.000 5.758 0.000 0.000 0.000 6.243" Properties=species:S:1:pos:R:3 pbc="T T T"
Tl 0.000 0.000 0.000
Te 2.879 2.879 3.122
I 2.879 2.879 0.000
Br 0.000 2.879 3.122
Br 2.879 0.000 3.122
```

Properties
For the total energy, the calculation gives -2.4023 eV per atom. Its uncorrected formation energy is -0.322 eV/atom.



A plane-wave DFT calculation with PBE-GGA was carried out for a geometry-optimized BaRe2Ru structure.

extended XYZ file:
```
8
Lattice="9.054 0.000 0.000 0.000 3.076 0.000 -1.455 0.000 6.483" Properties=species:S:1:pos:R:3 pbc="T T T"
Ba 0.000 0.000 0.000
Ba 4.527 1.538 0.000
Re 1.028 0.000 4.018
Re 3.747 0.000 3.267
Re 5.555 1.538 4.018
Re 8.274 1.538 3.267
Ru 2.011 1.538 2.190
Ru 6.538 0.000 2.190
```

Properties
For the total energy, the calculation gives -8.2687 eV per atom. As for the energy above the most stable polymorph in this dataset: 176.6 meV per atom. The calculation puts the formation enthalpy at 0 K at 0.755 eV/atom.



A plane-wave DFT calculation with PBE-GGA was carried out for a geometry-optimized PuIn2Cu structure.

extended XYZ file:
```
16
Lattice="4.707 0.000 0.000 0.000 4.707 0.000 0.000 0.000 16.164" Properties=species:S:1:pos:R:3 pbc="T T T"
Pu 0.000 0.000 2.284
Pu 0.000 0.000 13.881
Pu 2.354 2.354 5.798
Pu 2.354 2.354 10.366
In 0.000 0.000 5.646
In 0.000 0.000 10.518
In 0.000 2.354 0.000
In 0.000 2.354 8.082
In 2.354 0.000 0.000
In 2.354 0.000 8.082
In 2.354 2.354 2.436
In 2.354 2.354 13.728
Cu 0.000 2.354 4.041
Cu 0.000 2.354 12.123
Cu 2.354 0.000 4.041
Cu 2.354 0.000 12.123
```

Properties
For the total energy, the calculation gives -6.1003 eV per atom. As for the energy above the most stable polymorph in this dataset: 0.0 meV per atom. The calculation puts the formation enthalpy at 0 K at -0.124 eV/atom.



A plane-wave DFT calculation with PBE-GGA was carried out for a geometry-optimized CsTl2V2Se7 structure.

extended XYZ file:
```
12
Lattice="3.306 1.909 12.117 -3.306 1.909 12.117 0.000 -3.818 12.117" Properties=species:S:1:pos:R:3 pbc="T T T"
Cs 0.000 0.000 0.000
Tl 0.000 0.000 7.003
Tl 0.000 0.000 29.348
V 0.000 0.000 15.812
V 0.000 0.000 20.539
Se -1.079 -1.817 15.021
Se -1.034 -1.843 21.331
Se -1.034 1.843 15.021
Se 0.000 0.000 18.176
Se -1.079 1.817 21.331
Se 2.113 -0.026 15.021
Se 2.113 0.026 21.331
```

Properties
For the total energy, the calculation gives -4.5277 eV per atom. Its uncorrected formation energy is -0.510 eV/atom.



A plane-wave DFT calculation with PBE-GGA was carried out for a geometry-optimized CuSi3 structure.

extended XYZ file:
```
8
Lattice="4.856 0.000 0.000 0.000 4.856 0.000 0.000 0.000 4.856" Properties=species:S:1:pos:R:3 pbc="T T T"
Cu 0.000 0.000 0.000
Cu 2.428 2.428 2.428
Si 0.000 1.214 2.428
Si 0.000 3.642 2.428
Si 1.214 2.428 0.000
Si 2.428 0.000 1.214
Si 2.428 0.000 3.642
Si 3.642 2.428 0.000
```

Properties
For the total energy, the calculation gives -4.5956 eV per atom. Its uncorrected formation energy is 0.496 eV/atom.